(1)
CsTaMnAl2 | Alexandria | GGA-PBE | optimized geometry; total magnetic moment = 3.4 μB per cell; space group = P4/mmm (123); formation enthalpy at 0 K = 2.7168 eV/atom
1.0
5.472 0.000 0.000
0.000 5.472 0.000
0.000 0.000 5.309
Cs Ta Mn Al
1 1 1 2
Direct
0.000 0.000 0.000
0.000 0.000 0.500
0.500 0.500 0.500
0.000 0.500 0.000
0.500 0.000 0.000



(2)
Cs3AlMo | Alexandria | GGA-PBE | optimized geometry; total magnetic moment = 0.0 μB per cell; space group = Pm-3m (221); formation enthalpy at 0 K = 1.6522 eV/atom
1.0
6.111 0.000 0.000
0.000 6.111 0.000
0.000 0.000 6.111
Cs Al Mo
3 1 1
Direct
0.000 0.000 0.500
0.000 0.500 0.000
0.500 0.000 0.000
0.500 0.500 0.500
0.000 0.000 0.000



(3)
CsAlMo2 | Alexandria | GGA-PBE | optimized geometry; total magnetic moment = 0.0 μB per cell; space group = I-42d (122); formation enthalpy at 0 K = 1.8545 eV/atom
1.0
7.991 0.000 0.000
0.000 7.991 0.000
0.000 0.000 5.568
Cs Al Mo
4 4 8
Direct
0.000 0.000 0.000
0.000 0.500 0.250
0.500 0.000 0.750
0.500 0.500 0.500
0.000 0.000 0.500
0.000 0.500 0.750
0.500 0.000 0.250
0.500 0.500 0.000
0.195 0.250 0.625
0.250 0.695 0.875
0.250 0.805 0.375
0.305 0.250 0.125
0.695 0.750 0.125
0.750 0.195 0.375
0.750 0.305 0.875
0.805 0.750 0.625



(4)
CsAl3Mo | Alexandria | GGA-PBE | optimized geometry; total magnetic moment = 4.0 μB per cell; energy relative to the lowest polymorph listed for this composition = 2.094 eV per atom; space group = Pm-3m (221); formation enthalpy at 0 K = 2.4615 eV/atom
1.0
5.705 0.000 0.000
0.000 5.705 0.000
0.000 0.000 5.705
Cs Al Mo
1 3 1
Direct
0.000 0.000 0.000
0.000 0.000 0.500
0.000 0.500 0.000
0.500 0.000 0.000
0.500 0.500 0.500



(5)
CsAlMo3 | Alexandria | GGA-PBE | optimized geometry; total magnetic moment = 2.0 μB per cell; space group = Pm-3m (221); formation enthalpy at 0 K = 3.1505 eV/atom
1.0
4.898 0.000 0.000
0.000 4.898 0.000
0.000 0.000 4.898
Cs Al Mo
1 1 3
Direct
0.000 0.000 0.000
0.500 0.500 0.500
0.000 0.000 0.500
0.000 0.500 0.000
0.500 0.000 0.000



(6)
CsAl3Mo | Alexandria | GGA-PBE | optimized geometry; total magnetic moment = 0.0 μB per cell; energy relative to the lowest polymorph listed for this composition = 0.000 eV per atom; space group = Pm-3m (221); formation enthalpy at 0 K = 0.3674 eV/atom
1.0
5.115 0.000 0.000
0.000 5.115 0.000
0.000 0.000 5.115
Cs Al Mo
1 3 1
Direct
0.000 0.000 0.000
0.000 0.500 0.500
0.500 0.000 0.500
0.500 0.500 0.000
0.500 0.500 0.500



Please write out number 2 again, unchanged.
Cs3AlMo | Alexandria | GGA-PBE | optimized geometry; total magnetic moment = 0.0 μB per cell; space group = Pm-3m (221); formation enthalpy at 0 K = 1.6522 eV/atom
1.0
6.111 0.000 0.000
0.000 6.111 0.000
0.000 0.000 6.111
Cs Al Mo
3 1 1
Direct
0.000 0.000 0.500
0.000 0.500 0.000
0.500 0.000 0.000
0.500 0.500 0.500
0.000 0.000 0.000